# 1
Density functional theory data (PBE) for crystalline HfAl2BiB at its relaxed geometry.

The value obtained for the size of the total moment is 0.00 μB/f.u. Its calculated volume is 24.8 A^3/atom. The crystal system is tetragonal. The calculation puts the formation energy at 1.06 eV/atom.

The space group is P4/mmm (No. 123) and the conventional cell measures 5.284, 5.284 and 4.449 Å, with angles of 90.00, 90.00 and 90.00 degrees. Symmetry generates all atoms from Hf at (0.000, 0.000, 0.000), Al at (0.000, 0.500, 0.000), Bi at (0.500, 0.500, 0.500) and B at (0.000, 0.000, 0.500).

---

# 2
Density functional theory data (PBE) for crystalline Tb3PrDy at its relaxed geometry.

The value obtained for the size of the total moment is 0.00 μB/f.u. Its calculated volume is 35.7 A^3/atom. The crystal system is orthorhombic. The calculation puts the formation energy at 0.33 eV/atom.

The space group is Cmcm (No. 63) and the conventional cell measures 3.642, 16.771 and 11.699 Å, with angles of 90.00, 90.00 and 90.00 degrees. Symmetry generates all atoms from Tb at (0.000, 0.142, 0.250), Tb at (0.000, 0.347, 0.502), Pr at (0.000, 0.193, 0.750) and Dy at (0.000, 0.479, 0.250).

---

# 3
Density functional theory data (PBE) for crystalline As3Cl at its relaxed geometry.

The value obtained for the size of the total moment is 0.00 μB/f.u. For the formation energy without anion corrections, the calculation gives 0.029 eV per formula unit. Its calculated volume is 23.8 A^3/atom. The crystal system is orthorhombic.

The space group is Pnma (No. 62) and the conventional cell measures 7.317, 10.074 and 5.171 Å, with angles of 90.00, 90.00 and 90.00 degrees. Symmetry generates all atoms from As at (0.013, 0.250, 0.001), As at (0.174, 0.027, 0.001) and Cl at (0.004, 0.250, 0.501).

---

# 4
Density functional theory data (PBE) for crystalline AsBrF2 at its relaxed geometry.

The value obtained for the size of the total moment is 0.00 μB/f.u. For the formation energy without anion corrections, the calculation gives -3.477 eV per formula unit. Its calculated volume is 19.3 A^3/atom. The crystal system is trigonal.

The space group is R-3m (No. 166, hexagonal axes) and the conventional cell measures 2.9862, 2.9862 and 29.9419 Å, with angles of 90.00, 90.00 and 120.00 degrees. Symmetry generates all atoms from As at (0.0000, 0.0000, 0.0000), Br at (0.0000, 0.0000, 0.5000) and F at (0.0000, 0.0000, 0.0611).

---

# 5
Density functional theory data (PBE) for crystalline Sr5Se3 at its relaxed geometry.

The value obtained for the size of the total moment is 0.47 μB/f.u. For the formation energy without anion corrections, the calculation gives -8.849 eV per formula unit. Its calculated volume is 35.2 A^3/atom. The crystal system is orthorhombic.

The space group is Cmmm (No. 65) and the conventional cell measures 9.742, 12.793 and 4.514 Å, with angles of 90.00, 90.00 and 90.00 degrees. Symmetry generates all atoms from Sr at (0.000, 0.000, 0.000), Sr at (0.205, 0.500, 0.500), Sr at (0.250, 0.250, 0.000), Se at (0.000, 0.172, 0.500) and Se at (0.000, 0.500, 0.000).

---

# 6
Density functional theory data (PBE) for crystalline BaCd2W at its relaxed geometry.

The value obtained for the size of the total moment is 1.06 μB/f.u. Its calculated volume is 26.2 A^3/atom. The crystal system is orthorhombic. The calculation puts the formation energy at 0.76 eV/atom.

The space group is Pmm2 (No. 25) and the conventional cell measures 3.128, 4.219 and 7.941 Å, with angles of 90.00, 90.00 and 90.00 degrees. Symmetry generates all atoms from Ba at (0.000, 0.000, 0.000), Cd at (0.000, 0.000, 0.551), Cd at (0.500, 0.500, 0.329) and W at (0.500, 0.500, 0.701).

---

# 7
Density functional theory data (PBE) for crystalline La4PrPt2 at its relaxed geometry.

The value obtained for the size of the total moment is 0.00 μB/f.u. Its calculated volume is 30.3 A^3/atom. The crystal system is monoclinic. The calculation puts the formation energy at -0.62 eV/atom.

The space group is P2_1/m (No. 11) and the conventional cell measures 8.336, 6.693 and 8.416 Å, with angles of 90.00, 115.29 and 90.00 degrees. Symmetry generates all atoms from La at (0.002, 0.250, 0.375), La at (0.274, 0.750, 0.358), La at (0.415, 0.014, 0.781), Pr at (0.149, 0.250, 0.023), Pt at (0.225, 0.750, 0.995) and Pt at (0.357, 0.250, 0.406).

---

# 8
Density functional theory data (PBE) for crystalline Ac2NpAs4Pt3 at its relaxed geometry.

The value obtained for the size of the total moment is 4.32 μB/f.u. Its calculated volume is 22.6 A^3/atom. The crystal system is tetragonal. The calculation puts the formation energy at -0.83 eV/atom.

The space group is P-4m2 (No. 115) and the conventional cell measures 4.548, 4.548 and 10.939 Å, with angles of 90.00, 90.00 and 90.00 degrees. Symmetry generates all atoms from Ac at (0.000, 0.500, 0.228), Np at (0.000, 0.000, 0.500), As at (0.000, 0.000, 0.000), As at (0.000, 0.500, 0.657), As at (0.500, 0.500, 0.000), Pt at (0.000, 0.500, 0.892) and Pt at (0.500, 0.500, 0.500).

---

# 9
Density functional theory data (PBE) for crystalline MgInSb2 at its relaxed geometry.

The value obtained for the size of the total moment is 0.00 μB/f.u. For the formation energy without anion corrections, the calculation gives -0.346 eV per formula unit. Its calculated volume is 33.9 A^3/atom. The crystal system is monoclinic.

The space group is Cm (No. 8) and the conventional cell measures 16.191, 3.842 and 8.759 Å, with angles of 90.00, 96.28 and 90.00 degrees. Symmetry generates all atoms from Mg at (0.000, 0.000, 0.000), Mg at (0.247, 0.000, 0.751), In at (0.004, 0.500, 0.497), In at (0.257, 0.500, 0.250), Sb at (0.072, 0.000, 0.720), Sb at (0.079, 0.500, 0.218), Sb at (0.326, 0.000, 0.474) and Sb at (0.326, 0.500, 0.967).

---

# 10
Density functional theory data (PBE) for crystalline Li2EuZn at its relaxed geometry.

The value obtained for the size of the total moment is 7.89 μB/f.u. Its calculated volume is 25.1 A^3/atom. The crystal system is tetragonal. The calculation puts the formation energy at 0.03 eV/atom.

The space group is P4/mmm (No. 123) and the conventional cell measures 4.423, 4.423 and 5.127 Å, with angles of 90.00, 90.00 and 90.00 degrees. Symmetry generates all atoms from Li at (0.000, 0.500, 0.000), Eu at (0.000, 0.000, 0.500) and Zn at (0.500, 0.500, 0.500).

---

# 11
Density functional theory data (PBE) for crystalline Be4ReP at its relaxed geometry.

The value obtained for the size of the total moment is 0.00 μB/f.u. Its calculated volume is 9.4 A^3/atom. The crystal system is cubic. The calculation puts the formation energy at -0.09 eV/atom.

The space group is F-43m (No. 216) and the conventional cell measures 6.095, 6.095 and 6.095 Å, with angles of 90.00, 90.00 and 90.00 degrees. Symmetry generates all atoms from Be at (0.123, 0.123, 0.377), Re at (0.250, 0.250, 0.750) and P at (0.000, 0.000, 0.000).

---

# 12
Density functional theory data (PBE) for crystalline NaCdRh2C at its relaxed geometry.

The value obtained for the size of the total moment is 0.00 μB/f.u. Its calculated volume is 15.1 A^3/atom. The crystal system is tetragonal. The calculation puts the formation energy at 0.08 eV/atom.

The space group is P4/mmm (No. 123) and the conventional cell measures 4.042, 4.042 and 4.631 Å, with angles of 90.00, 90.00 and 90.00 degrees. Symmetry generates all atoms from Na at (0.000, 0.000, 0.000), Cd at (0.500, 0.500, 0.000), Rh at (0.000, 0.500, 0.500) and C at (0.000, 0.000, 0.500).

---

# 13
Density functional theory data (PBE) for crystalline Pm15PrEr4 at its relaxed geometry.

The value obtained for the size of the total moment is 0.00 μB/f.u. Its calculated volume is 33.6 A^3/atom. The crystal system is tetragonal. The calculation puts the formation energy at 0.01 eV/atom.

The space group is P4/mmm (No. 123) and the conventional cell measures 5.130, 5.130 and 25.570 Å, with angles of 90.00, 90.00 and 90.00 degrees. Symmetry generates all atoms from Pm at (0.000, 0.000, 0.000), Pm at (0.000, 0.000, 0.202), Pm at (0.000, 0.000, 0.401), Pm at (0.000, 0.500, 0.102), Pm at (0.000, 0.500, 0.301), Pm at (0.000, 0.500, 0.500), Pr at (0.500, 0.500, 0.000), Er at (0.500, 0.500, 0.202) and Er at (0.500, 0.500, 0.401).

---

# 14
Density functional theory data (PBE) for crystalline In2RuBr at its relaxed geometry.

The value obtained for the size of the total moment is 0.00 μB/f.u. For the formation energy without anion corrections, the calculation gives 2.090 eV per formula unit. Its calculated volume is 20.9 A^3/atom. The crystal system is tetragonal.

The space group is I4/mmm (No. 139) and the conventional cell measures 4.316, 4.316 and 8.961 Å, with angles of 90.00, 90.00 and 90.00 degrees. Symmetry generates all atoms from In at (0.000, 0.500, 0.250), Ru at (0.000, 0.000, 0.000) and Br at (0.000, 0.000, 0.500).

---

# 15
Density functional theory data (PBE) for crystalline ZnHgPd5 at its relaxed geometry.

The value obtained for the size of the total moment is 0.00 μB/f.u. Its calculated volume is 16.8 A^3/atom. The crystal system is tetragonal. The calculation puts the formation energy at -0.13 eV/atom.

The space group is P4/mmm (No. 123) and the conventional cell measures 4.166, 4.166 and 6.778 Å, with angles of 90.00, 90.00 and 90.00 degrees. Symmetry generates all atoms from Zn at (0.000, 0.000, 0.000), Hg at (0.500, 0.500, 0.500), Pd at (0.000, 0.000, 0.500) and Pd at (0.000, 0.500, 0.214).

---

# 16
Density functional theory data (PBE) for crystalline Sm5ZrGe4 at its relaxed geometry.

The value obtained for the size of the total moment is 0.99 μB/f.u. Its calculated volume is 28.5 A^3/atom. The crystal system is monoclinic. The calculation puts the formation energy at -0.55 eV/atom.

The space group is C2/m (No. 12) and the conventional cell measures 18.191, 4.174 and 7.870 Å, with angles of 90.00, 107.71 and 90.00 degrees. Symmetry generates all atoms from Sm at (0.000, 0.000, 0.000), Sm at (0.166, 0.500, 0.349), Sm at (0.167, 0.500, 0.865), Zr at (0.000, 0.000, 0.500), Ge at (0.002, 0.500, 0.738) and Ge at (0.167, 0.000, 0.613).

---

# 17
Density functional theory data (PBE) for crystalline SmZrCdIn at its relaxed geometry.

The value obtained for the size of the total moment is 0.00 μB/f.u. Its calculated volume is 24.7 A^3/atom. The crystal system is cubic. The calculation puts the formation energy at -0.24 eV/atom.

The space group is F-43m (No. 216) and the conventional cell measures 7.340, 7.340 and 7.340 Å, with angles of 90.00, 90.00 and 90.00 degrees. Symmetry generates all atoms from Sm at (0.000, 0.000, 0.000), Zr at (0.000, 0.000, 0.500), Cd at (0.250, 0.250, 0.750) and In at (0.250, 0.250, 0.250).

---

# 18
Density functional theory data (PBE) for crystalline YInSe3 at its relaxed geometry.

The value obtained for the size of the total moment is 0.00 μB/f.u. For the formation energy without anion corrections, the calculation gives -3.290 eV per formula unit. Its calculated volume is 29.4 A^3/atom. The crystal system is tetragonal.

The space group is P4mm (No. 99) and the conventional cell measures 4.153, 4.153 and 8.535 Å, with angles of 90.00, 90.00 and 90.00 degrees. Symmetry generates all atoms from Y at (0.000, 0.000, 0.000), In at (0.500, 0.500, 0.767), Se at (0.000, 0.000, 0.665) and Se at (0.000, 0.500, 0.223).

---

# 19
Density functional theory data (PBE) for crystalline Sm3Si2Rh at its relaxed geometry.

The value obtained for the size of the total moment is 0.00 μB/f.u. For the formation energy without anion corrections, the calculation gives -4.739 eV per formula unit. Its calculated volume is 23.9 A^3/atom. The crystal system is orthorhombic.

The space group is Pnma (No. 62) and the conventional cell measures 11.790, 4.250 and 11.433 Å, with angles of 90.00, 90.00 and 90.00 degrees. Symmetry generates all atoms from Sm at (0.056, 0.250, 0.125), Sm at (0.120, 0.750, 0.557), Sm at (0.216, 0.250, 0.802), Si at (0.021, 0.750, 0.314), Si at (0.194, 0.750, 0.997) and Rh at (0.131, 0.250, 0.367).

---

# 20
Density functional theory data (PBE) for crystalline Tb2NdPd3 at its relaxed geometry.

The value obtained for the size of the total moment is 0.00 μB/f.u. Its calculated volume is 24.0 A^3/atom. The crystal system is orthorhombic. The calculation puts the formation energy at -0.57 eV/atom.

The space group is Imma (No. 74) and the conventional cell measures 8.715, 10.695 and 6.174 Å, with angles of 90.00, 90.00 and 90.00 degrees. Symmetry generates all atoms from Tb at (0.000, 0.083, 0.250), Nd at (0.000, 0.250, 0.749), Pd at (0.250, 0.000, 0.000) and Pd at (0.250, 0.250, 0.250).

---

# 21
Density functional theory data (PBE) for crystalline CeAl2Se6 at its relaxed geometry.

The value obtained for the size of the total moment is 0.97 μB/f.u. For the formation energy without anion corrections, the calculation gives -7.535 eV per formula unit. Its calculated volume is 26.4 A^3/atom. The crystal system is monoclinic.

The space group is C2/c (No. 15) and the conventional cell measures 14.644, 9.938 and 7.136 Å, with angles of 90.00, 113.78 and 90.00 degrees. Symmetry generates all atoms from Ce at (0.000, 0.173, 0.250), Al at (0.250, 0.032, 0.233), Se at (0.102, 0.088, 0.703), Se at (0.144, 0.427, 0.414) and Se at (0.149, 0.227, 0.065).

---

# 22
Density functional theory data (PBE) for crystalline SrLiGaSi2 at its relaxed geometry.

The value obtained for the size of the total moment is 0.00 μB/f.u. For the formation energy without anion corrections, the calculation gives -1.817 eV per formula unit. Its calculated volume is 19.9 A^3/atom. The crystal system is tetragonal.

The space group is I-4m2 (No. 119) and the conventional cell measures 4.362, 4.362 and 10.474 Å, with angles of 90.00, 90.00 and 90.00 degrees. Symmetry generates all atoms from Sr at (0.000, 0.000, 0.000), Li at (0.000, 0.500, 0.250), Ga at (0.000, 0.500, 0.750) and Si at (0.000, 0.000, 0.387).

---

# 23
Density functional theory data (PBE) for crystalline AlZn3Ga4 at its relaxed geometry.

The value obtained for the size of the total moment is 0.00 μB/f.u. Its calculated volume is 18.1 A^3/atom. The crystal system is trigonal. The calculation puts the formation energy at 0.10 eV/atom.

The space group is R-3m (No. 166, hexagonal axes) and the conventional cell measures 4.2849, 4.2849 and 27.3065 Å, with angles of 90.00, 90.00 and 120.00 degrees. Symmetry generates all atoms from Al at (0.0000, 0.0000, 0.0000), Zn at (0.0000, 0.0000, 0.2512), Zn at (0.0000, 0.0000, 0.5000), Ga at (0.0000, 0.0000, 0.1256) and Ga at (0.0000, 0.0000, 0.3775).